Entry from the Alexandria database: a geometry-optimized CaCrCo2 structure (GGA-PBEsol).

Cell and atoms, written as POSCAR:
```
CaCrCo2
1.0
4.343 0.000 0.000
2.172 3.761 0.000
2.172 1.254 3.546
Co Ca Cr
2 1 1
direct
0.000 0.000 0.000
0.750 0.750 0.750
0.500 0.500 0.500
0.250 0.250 0.250
```

total energy = -6.16 eV/atom
volume = 58 Å³/cell
distance to the lowest polymorph of the same formula = 249 meV/atom

---

Entry from the Alexandria database: a geometry-optimized HfTePd2S structure (GGA-PBEsol).

Cell and atoms, written as POSCAR:
```
HfTePd2S
1.0
-3.787 -1.532 1.566
-1.493 -0.482 -4.084
1.950 -4.953 -0.129
Pd Hf Te S
2 1 1 1
direct
0.000 0.500 0.000
0.500 0.000 0.000
0.500 0.500 0.500
0.000 0.000 0.500
0.000 0.000 0.000
```

total energy = -5.90 eV/atom
formation energy from raw total energies = 3.9 kcal/mol of atoms
volume = 102 Å³/cell

---

Entry from the Alexandria database: a geometry-optimized CuIr structure (GGA-PBEsol).

Cell and atoms, written as POSCAR:
```
CuIr
1.0
2.660 0.000 0.000
-1.330 4.829 -0.004
0.000 -1.727 6.048
Cu Ir
3 3
direct
0.665 0.330 0.325
0.387 0.775 0.275
0.003 0.006 0.014
0.723 0.447 0.944
0.054 0.107 0.609
0.335 0.669 0.666
```

total energy = -6.98 eV/atom
volume = 78 Å³/cell

---

Entry from the Alexandria database: a geometry-optimized KAs4BrO6 structure (GGA-PBEsol).

Cell and atoms, written as POSCAR:
```
KAs4BrO6
1.0
5.275 0.000 0.000
-2.638 4.568 0.000
0.000 0.000 8.963
As K Br O
4 1 1 6
direct
0.667 0.333 0.798
0.667 0.333 0.202
0.333 0.667 0.798
0.333 0.667 0.202
0.000 0.000 0.500
0.000 0.000 0.000
0.000 0.500 0.313
0.500 0.000 0.687
0.000 0.500 0.687
0.500 0.500 0.313
0.500 0.000 0.313
0.500 0.500 0.687
```

total energy = -5.88 eV/atom
formation energy from raw total energies = -30.1 kcal/mol of atoms
volume = 216 Å³/cell

---

Entry from the Alexandria database: a geometry-optimized LiBeP2O structure (GGA-PBEsol).

Cell and atoms, written as POSCAR:
```
LiBeP2O
1.0
-1.206 -2.638 -1.190
-1.583 -1.102 4.047
-3.824 2.157 -0.908
Be P O Li
1 2 1 1
direct
0.500 0.500 0.500
0.000 0.500 0.000
0.000 0.000 0.500
0.500 0.000 0.000
0.000 0.000 0.000
```

total energy = -3.94 eV/atom
formation energy from raw total energies = 14.3 kcal/mol of atoms
volume = 63 Å³/cell

---

Entry from the Alexandria database: a geometry-optimized PrCoC2 structure (GGA-PBEsol).

Cell and atoms, written as POSCAR:
```
PrCoC2
1.0
3.779 0.000 0.005
-0.001 3.779 0.005
-1.066 -1.067 7.175
C Pr Co
4 2 2
direct
0.850 0.000 0.234
0.589 0.952 0.079
0.000 0.850 0.734
0.952 0.589 0.579
0.369 0.515 0.307
0.515 0.369 0.807
0.929 0.069 0.501
0.069 0.929 0.001
```

total energy = -8.36 eV/atom
volume = 102 Å³/cell

---

Entry from the Alexandria database: a geometry-optimized ScZnCdAs2 structure (GGA-PBEsol).

Cell and atoms, written as POSCAR:
```
ScZnCdAs2
1.0
-2.125 2.475 -3.411
0.283 -3.728 -2.882
-4.488 -1.603 1.633
As Cd Sc Zn
2 1 1 1
direct
0.000 0.500 0.000
0.500 0.000 0.000
0.500 0.500 0.500
0.000 0.000 0.500
0.000 0.000 0.000
```

total energy = -3.59 eV/atom
volume = 112 Å³/cell

---

Entry from the Alexandria database: a geometry-optimized LaMgIr2 structure (GGA-PBEsol).

Cell and atoms, written as POSCAR:
```
LaMgIr2
1.0
4.045 0.000 0.000
0.000 4.045 0.000
-2.023 -2.023 4.516
Ir Mg La
2 1 1
direct
0.750 0.250 0.500
0.000 0.000 0.000
0.250 0.750 0.500
0.500 0.500 0.000
```

total energy = -6.81 eV/atom
volume = 74 Å³/cell

---

Number 1: spin magnetization 6.09 μB per cell. Number 2: spin magnetization 0.00 μB per cell. Number 3: spin magnetization 0.00 μB per cell. Number 4: spin magnetization 0.00 μB per cell. Number 5: spin magnetization 0.00 μB per cell. Number 6: spin magnetization 0.00 μB per cell. Number 7: spin magnetization 0.00 μB per cell. Number 8: spin magnetization 0.00 μB per cell.